No. 1
The following is a DFT calculation (PBE-GGA) of MgBe2Ru after structural relaxation.

Structure (POSCAR):
```
MgBe2Ru
1.0
3.898 0.000 0.000
0.000 3.898 0.000
0.000 0.000 3.084
Mg Be Ru
1 2 1
direct
0.000 0.000 0.000
0.000 0.500 0.500
0.500 0.000 0.500
0.500 0.500 0.000
```

Values from the calculation:
Mass density ... 5.08 g/cm3
Formation energy from the elements ... -0.08 eV per atom
Total DFT energy (no corrections) ... -18.64 eV/cell
SG ... P4/mmm



No. 2
The following is a DFT calculation (PBE-GGA) of Pm5ScAu6 after structural relaxation.

Structure (POSCAR):
```
Pm5ScAu6
1.0
-2.571 3.646 7.759
2.571 -3.646 7.759
2.571 3.646 -7.759
Pm Sc Au
5 1 6
direct
0.000 0.000 0.000
0.164 0.664 0.500
0.330 0.330 0.000
0.670 0.670 0.000
0.836 0.336 0.500
0.500 0.000 0.500
0.109 0.843 0.265
0.277 0.500 0.777
0.422 0.157 0.265
0.578 0.843 0.735
0.723 0.500 0.223
0.891 0.157 0.735
```

Values from the calculation:
Mass density ... 11.14 g/cm3
Formation energy from the elements ... -0.77 eV per atom
Total DFT energy (no corrections) ... -59.00 eV/cell
SG ... Immm



No. 3
The following is a DFT calculation (PBE-GGA) of K3Mn5Se12 after structural relaxation.

Structure (POSCAR):
```
K3Mn5Se12
1.0
-8.046 8.046 8.046
8.046 -8.046 8.046
8.046 8.046 -8.046
K Mn Se
12 20 48
direct
0.125 0.250 0.375
0.125 0.375 0.750
0.250 0.375 0.125
0.250 0.875 0.625
0.375 0.125 0.250
0.375 0.750 0.125
0.625 0.250 0.875
0.625 0.875 0.750
0.750 0.125 0.375
0.750 0.625 0.875
0.875 0.625 0.250
0.875 0.750 0.625
0.000 0.000 0.000
0.000 0.000 0.500
0.000 0.500 0.000
0.000 0.500 0.500
0.125 0.750 0.875
0.125 0.875 0.250
0.250 0.125 0.875
0.250 0.625 0.375
0.375 0.250 0.625
0.375 0.625 0.750
0.500 0.000 0.000
0.500 0.000 0.500
0.500 0.500 0.000
0.500 0.500 0.500
0.625 0.375 0.250
0.625 0.750 0.375
0.750 0.375 0.625
0.750 0.875 0.125
0.875 0.125 0.750
0.875 0.250 0.125
0.007 0.195 0.096
0.007 0.311 0.911
0.089 0.596 0.401
0.089 0.993 0.689
0.096 0.007 0.195
0.096 0.589 0.901
0.099 0.695 0.689
0.099 0.904 0.411
0.189 0.195 0.599
0.189 0.493 0.589
0.195 0.096 0.007
0.195 0.599 0.189
0.305 0.311 0.901
0.305 0.493 0.404
0.311 0.901 0.305
0.311 0.911 0.007
0.401 0.089 0.596
0.401 0.811 0.805
0.404 0.305 0.493
0.404 0.599 0.911
0.411 0.099 0.904
0.411 0.811 0.507
0.493 0.404 0.305
0.493 0.589 0.189
0.507 0.411 0.811
0.507 0.596 0.695
0.589 0.189 0.493
0.589 0.901 0.096
0.596 0.401 0.089
0.596 0.695 0.507
0.599 0.189 0.195
0.599 0.911 0.404
0.689 0.089 0.993
0.689 0.099 0.695
0.695 0.507 0.596
0.695 0.689 0.099
0.805 0.401 0.811
0.805 0.904 0.993
0.811 0.507 0.411
0.811 0.805 0.401
0.901 0.096 0.589
0.901 0.305 0.311
0.904 0.411 0.099
0.904 0.993 0.805
0.911 0.007 0.311
0.911 0.404 0.599
0.993 0.689 0.089
0.993 0.805 0.904
```

Values from the calculation:
E_form (uncorrected) ... -41 kJ/mol of atoms
Mass density ... 4.27 g/cm3
Total DFT energy (no corrections) ... -398.15 eV/cell
SG ... Ia-3d



No. 4
The following is a DFT calculation (PBE-GGA) of TaZnNiRh after structural relaxation.

Structure (POSCAR):
```
TaZnNiRh
1.0
3.921 0.000 0.000
0.000 3.921 0.000
0.000 0.000 7.344
Ta Zn Ni Rh
2 2 2 2
direct
0.000 0.000 0.000
0.500 0.500 0.500
0.000 0.000 0.500
0.500 0.500 0.000
0.000 0.500 0.750
0.500 0.000 0.250
0.000 0.500 0.250
0.500 0.000 0.750
```

Values from the calculation:
Mass density ... 12.00 g/cm3
Formation energy from the elements ... -0.40 eV per atom
Total DFT energy (no corrections) ... -55.70 eV/cell
SG ... I-4m2



No. 5
The following is a DFT calculation (PBE-GGA) of Tm6SnHg6 after structural relaxation.

Structure (POSCAR):
```
Tm6SnHg6
1.0
6.213 0.000 0.000
-3.106 5.380 0.000
0.000 0.000 10.247
Tm Sn Hg
6 1 6
direct
0.000 0.000 0.179
0.000 0.000 0.821
0.333 0.667 0.000
0.333 0.667 0.500
0.667 0.333 0.000
0.667 0.333 0.500
0.000 0.000 0.500
0.000 0.500 0.249
0.000 0.500 0.751
0.500 0.000 0.249
0.500 0.000 0.751
0.500 0.500 0.249
0.500 0.500 0.751
```

Values from the calculation:
Mass density ... 11.33 g/cm3
Formation energy from the elements ... -0.27 eV per atom
Total DFT energy (no corrections) ... -36.10 eV/cell
SG ... P6/mmm



No. 6
The following is a DFT calculation (PBE-GGA) of LiCrP4 after structural relaxation.

Structure (POSCAR):
```
LiCrP4
1.0
0.000 3.604 3.604
3.604 0.000 3.604
3.604 3.604 0.000
Li Cr P
1 1 4
direct
0.000 0.000 0.000
0.250 0.250 0.250
0.126 0.625 0.625
0.625 0.126 0.625
0.625 0.625 0.126
0.625 0.625 0.625
```

Values from the calculation:
Mass density ... 3.24 g/cm3
Formation energy from the elements ... 0.36 eV per atom
Total DFT energy (no corrections) ... -31.04 eV/cell
SG ... F-43m



Table of M_tot (μB per cell), in record order: 0.000, 0.000, 56.019, 0.000, 1.538, 4.893